{"formula": "KLiCo", "functional": "PBE-GGA", "state": "optimized geometry", "formation_energy_mev_per_atom": 725, "polymorph_energy_ev_per_fu": 1.06, "e_tot_ev_per_cell": -15.88, "sg": "Cm, No. 8", "volume_a3_per_atom": 23.1, "lattice": [[-1.407, -2.102, 1.182], [-1.709, -0.954, -3.732], [9.079, -7.117, -2.339]], "species": ["K", "K", "Li", "Li", "Co", "Co"], "fractional_positions": [[0.682, 0.000, 0.635], [0.682, 0.500, 0.135], [0.702, 0.000, 0.907], [0.702, 0.500, 0.407], [0.198, 0.000, 0.347], [0.198, 0.500, 0.847]]}